The following is a PBE calculation of an optimized crystal structure of Hf2InBiC, from the Alexandria database.

The calculation puts the formation energy at 0.92 eV/f.u.

It has space group P4/mmm (No. 123), with a = 4.592 Å, b = 4.592 Å, c = 4.875 Å, α = 90.00°, β = 90.00° and γ = 90.00°. Symmetry generates all atoms from Hf at (0.000, 0.500, 0.000), In at (0.000, 0.000, 0.500), Bi at (0.500, 0.500, 0.500) and C at (0.000, 0.000, 0.000).

---

The following is a PBE calculation of an optimized crystal structure of BeInNi2, from the Alexandria database.

The energy above the most stable polymorph in this dataset comes out at 108 meV/atom. The calculation puts the formation energy at -0.20 eV/f.u.

It has space group P4/mmm (No. 123), with a = 3.799 Å, b = 3.799 Å, c = 3.509 Å, α = 90.00°, β = 90.00° and γ = 90.00°. Symmetry generates all atoms from Be at (0.000, 0.000, 0.000), In at (0.500, 0.500, 0.000) and Ni at (0.000, 0.500, 0.500).

---

The following is a PBE calculation of an optimized crystal structure of Rb2TmPtO4, from the Alexandria database.

It has space group Fddd (No. 70, origin choice 2), with a = 6.063 Å, b = 14.270 Å, c = 22.537 Å, α = 90.00°, β = 90.00° and γ = 90.00°. Symmetry generates all atoms from Rb at (0.125, 0.125, 0.312), Tm at (0.125, 0.125, 0.125), Pt at (0.125, 0.125, 0.625) and O at (0.112, 0.277, 0.871).

---

The following is a PBE calculation of an optimized crystal structure of MnCo2Ni2, from the Alexandria database.

The energy above the most stable polymorph in this dataset comes out at 96 meV/atom. The calculation puts the formation energy at 2.15 eV/f.u.

It has space group I4/mmm (No. 139), with a = 3.309 Å, b = 3.309 Å, c = 11.087 Å, α = 90.00°, β = 90.00° and γ = 90.00°. Symmetry generates all atoms from Mn at (0.000, 0.000, 0.000), Co at (0.000, 0.000, 0.403) and Ni at (0.000, 0.500, 0.250).

---

The following is a PBE calculation of an optimized crystal structure of Na3AuO3, from the Alexandria database.

The energy above the most stable polymorph in this dataset comes out at 249 meV/atom.

It has space group P6_3/m (No. 176), with a = 7.5490 Å, b = 7.5490 Å, c = 4.7476 Å, α = 90.00°, β = 90.00° and γ = 120.00°. Symmetry generates all atoms from Na at (0.0972, 0.3360, 0.2500), Au at (0.3333, 0.6667, 0.7500) and O at (0.1081, 0.3689, 0.7500).

---

The following is a PBE calculation of an optimized crystal structure of BaB2H2Se6, from the Alexandria database.

It has space group P-1 (No. 2), with a = 4.729 Å, b = 6.613 Å, c = 10.451 Å, α = 105.45°, β = 91.59° and γ = 91.30°. Symmetry generates all atoms from Ba at (0.000, 0.000, 0.000), B at (0.422, 0.699, 0.237), H at (0.324, 0.823, 0.487), Se at (0.260, 0.619, 0.386), Se at (0.482, 0.432, 0.095) and Se at (0.488, 0.023, 0.777).

---

The following is a PBE calculation of an optimized crystal structure of CaTeAs4, from the Alexandria database.

It has space group F-43m (No. 216), with a = 8.451 Å, b = 8.451 Å, c = 8.451 Å, α = 90.00°, β = 90.00° and γ = 90.00°. Symmetry generates all atoms from Ca at (0.000, 0.000, 0.000), Te at (0.250, 0.250, 0.750) and As at (0.107, 0.107, 0.393).

---

It is found that the calculated volume values, taken in the order of the records, are 103; 51; 244; 61; 117; 315; 151 Å³/f.u..
It is found that the total DFT energy (no corrections) values, taken in the order of the records, are -0.512; -0.335; -0.402; -0.482; -0.292; -0.316; -0.299 Ry/atom.